DyInPd | PBE | optimized geometry

Values from the calculation:
Electronic total energy = -4.83 eV/atom
V = 24.646 Å³/atom

Cell: 4.711 4.711 4.711 Å, 60.00 60.00 60.00°
Site moments in Bohr magnetons follow the coordinates.
Fractional positions:
Dy1 0.250 0.250 0.250  0.09
In1 0.750 0.750 0.750  0.04
Pd1 0.000 0.000 0.000  0.03